## PaTiPb2O6 (GGA-PBE)

Data for crystalline PaTiPb2O6 at its relaxed geometry. Values from VASP.

Cell and atoms, written as Quantum ESPRESSO input:
```
&SYSTEM
  ibrav = 0, nat = 10, ntyp = 4
/
ATOMIC_SPECIES
Pa 231.04 Pa.upf
Ti 47.87 Ti.upf
Pb 207.20 Pb.upf
O 16.00 O.upf
CELL_PARAMETERS angstrom
5.855 0.000 0.000
0.000 5.855 0.000
0.000 0.000 4.532
ATOMIC_POSITIONS crystal
Pa 0.000 0.000 0.000
Ti 0.500 0.500 0.976
Pb 0.000 0.500 0.421
Pb 0.500 0.000 0.421
O 0.000 0.000 0.517
O 0.263 0.263 0.081
O 0.263 0.737 0.081
O 0.500 0.500 0.589
O 0.737 0.263 0.081
O 0.737 0.737 0.081
```

Computed properties:
**Raw formation energy**: -2.38 eV per atom
**DOS(E_F)**: 3.9 states/eV/cell
**E_tot**: -78.4 eV/cell



## PaTiPb2O8 (GGA-PBE)

Data for crystalline PaTiPb2O8 at its relaxed geometry. Values from VASP.

Cell and atoms, written as Quantum ESPRESSO input:
```
&SYSTEM
  ibrav = 0, nat = 12, ntyp = 4
/
ATOMIC_SPECIES
Pa 231.04 Pa.upf
Ti 47.87 Ti.upf
Pb 207.20 Pb.upf
O 16.00 O.upf
CELL_PARAMETERS angstrom
3.578 -3.602 0.000
3.578 3.602 0.000
0.000 0.000 6.714
ATOMIC_POSITIONS crystal
Pa 0.000 0.000 0.000
Ti 0.000 0.000 0.500
Pb 0.500 0.500 0.263
Pb 0.500 0.500 0.737
O 0.177 0.823 0.267
O 0.177 0.823 0.733
O 0.279 0.279 0.500
O 0.304 0.304 0.000
O 0.696 0.696 0.000
O 0.721 0.721 0.500
O 0.823 0.177 0.267
O 0.823 0.177 0.733
```

Computed properties:
**Raw formation energy**: -2.15 eV per atom
**DOS(E_F)**: 2.1 states/eV/cell
**E_tot**: -90.2 eV/cell